# 1
## SmEuGa (GGA-PBE)

Data for crystalline SmEuGa at its relaxed geometry.

POSCAR file:
```
SmEuGa
1.0
5.155 0.000 0.000
2.578 4.464 0.000
2.578 1.488 4.209
Eu Ga Sm
1 1 1
Direct
0.500 0.500 0.500
0.250 0.250 0.250
0.000 0.000 0.000
```

Values from the calculation:
As for the excess energy over the best structure of this formula in the dataset: 128.1 meV per atom. The energy of formation from the pure elements comes out at -18.3 kJ/mol of atoms.


# 2
## Ag3Te2Se4 (GGA-PBE)

Data for crystalline Ag3Te2Se4 at its relaxed geometry.

POSCAR file:
```
Ag3Te2Se4
1.0
-2.757 -7.909 -0.815
5.770 -3.180 5.075
-5.293 0.542 6.392
Se Ag Te
8 6 4
Direct
0.519 0.483 0.261
0.535 0.017 0.252
0.965 0.748 0.983
0.465 0.983 0.748
0.981 0.739 0.517
0.019 0.261 0.483
0.481 0.517 0.739
0.035 0.252 0.017
0.207 0.889 0.877
0.250 0.634 0.366
0.793 0.111 0.123
0.707 0.877 0.889
0.293 0.123 0.111
0.750 0.366 0.634
0.988 0.477 0.261
0.488 0.261 0.477
0.512 0.739 0.523
0.012 0.523 0.739
```

Values from the calculation:
The value obtained for the uncorrected formation energy is 0.01 eV/atom.


# 3
## K2CaIrO4 (GGA-PBE)

Data for crystalline K2CaIrO4 at its relaxed geometry.

POSCAR file:
```
K2CaIrO4
1.0
5.685 0.101 0.154
-2.331 5.186 -0.154
-2.331 -2.228 4.686
K Ir Ca O
2 1 1 4
Direct
0.000 0.000 0.000
0.500 0.750 0.250
0.000 0.500 0.500
0.500 0.250 0.750
0.109 0.304 0.721
0.891 0.613 0.196
0.417 0.804 0.696
0.583 0.279 0.387
```

Values from the calculation:
The value obtained for the uncorrected formation energy is -1.53 eV/atom.


# 4
## VBN2 (GGA-PBE)

Data for crystalline VBN2 at its relaxed geometry.

POSCAR file:
```
VBN2
1.0
1.544 0.000 5.464
-0.772 1.338 5.464
-0.772 -1.338 5.464
V N B
1 2 1
Direct
0.000 0.000 0.000
0.114 0.114 0.114
0.886 0.886 0.886
0.500 0.500 0.500
```

Values from the calculation:
The value obtained for the uncorrected formation energy is 0.61 eV/atom.


Please write out number 4 again, unchanged.
## VBN2 (GGA-PBE)

Data for crystalline VBN2 at its relaxed geometry.

POSCAR file:
```
VBN2
1.0
1.544 0.000 5.464
-0.772 1.338 5.464
-0.772 -1.338 5.464
V N B
1 2 1
Direct
0.000 0.000 0.000
0.114 0.114 0.114
0.886 0.886 0.886
0.500 0.500 0.500
```

Values from the calculation:
The value obtained for the uncorrected formation energy is 0.61 eV/atom.